--- one ---
{"formula": "CePmGaIr", "functional": "PBE-GGA", "state": "optimized geometry", "space_group": "F-43m", "cell": [[5.069, 0.000, 0.000], [2.534, 4.390, 0.000], [2.534, 1.463, 4.139]], "species": ["Ir", "Ga", "Ce", "Pm"], "fractional_positions": [[0.750, 0.750, 0.750], [0.250, 0.250, 0.250], [0.500, 0.500, 0.500], [0.000, 0.000, 0.000]]}

--- two ---
{"formula": "CePmGaIr", "functional": "PBE-GGA", "state": "optimized geometry", "space_group": "Amm2", "cell": [[4.194, 0.000, 0.000], [0.000, 3.907, 0.000], [-2.097, 0.000, 5.819]], "species": ["Ce", "Pm", "Ga", "Ir"], "fractional_positions": [[0.872, 0.500, 0.743], [0.150, 0.000, 0.300], [0.568, 0.500, 0.137], [0.410, 0.000, 0.820]]}

Relative energies, in kJ/mol of atoms, with the most stable structure set to zero: one 17.9; two 0.0.

--- one ---
{"formula": "CePuGaIr", "functional": "PBE-GGA", "state": "optimized geometry", "space_group": "F-43m", "cell": [[4.813, 0.000, 0.000], [2.407, 4.168, 0.000], [2.407, 1.389, 3.930]], "species": ["Ir", "Ga", "Ce", "Pu"], "fractional_positions": [[0.750, 0.750, 0.750], [0.500, 0.500, 0.500], [0.250, 0.250, 0.250], [0.000, 0.000, 0.000]]}

--- two ---
{"formula": "CePuGaIr", "functional": "PBE-GGA", "state": "optimized geometry", "space_group": "P3m1", "cell": [[-4.926, -0.990, 0.679], [0.157, -3.186, -3.505], [1.041, -4.524, 0.955]], "species": ["Ce", "Pu", "Ga", "Ir"], "fractional_positions": [[0.882, 0.000, 0.000], [0.314, 0.667, 0.667], [0.598, 0.333, 0.333], [0.100, 0.333, 0.333]]}

Relative energies, in kJ/mol of atoms, with the most stable structure set to zero: one 0.0; two 13.0.